First-principles (GGA-PBE) data for crystalline RbAsPd at its relaxed geometry, as listed in the Alexandria database.

## Properties
- DOS(E_F): 2.4 states/eV per cell
- Distance to the lowest polymorph of the same formula: 3 meV/atom
- ΔH_f (0 K): -430 meV per atom

abc: 6.9210 6.9210 8.1239
angles: 123.88 123.88 37.52
Closest atoms and distances in Å follow each position.
Fractional coordinates of all 6 atoms:
Rb (0.0494, 0.0494, 0.2969)  4 Pd 3.48-3.88, 4 As 3.59-3.90
Rb (0.9506, 0.9506, 0.7031)  4 Pd 3.48-3.88, 4 As 3.59-3.90
As (0.2892, 0.2892, 0.8377)  3 Pd 2.43-2.47
As (0.7108, 0.7108, 0.1623)  3 Pd 2.43-2.47
Pd (0.2669, 0.2669, 0.1193)  3 As 2.43-2.47
Pd (0.7331, 0.7331, 0.8807)  3 As 2.43-2.47

=====

First-principles (GGA-PBE) data for crystalline MgCu2P at its relaxed geometry, as listed in the Alexandria database.

## Properties
- DOS(E_F): 1.8 states/eV per cell
- ΔH_f (0 K): -154 meV per atom

abc: 3.9586 3.9586 8.5015
angles: 90.00 90.00 120.00
Closest atoms and distances in Å follow each position.
Fractional coordinates of all 8 atoms:
Mg (0.3333, 0.6667, 0.2500)  8 Cu 2.67-2.87
Mg (0.6667, 0.3333, 0.7500)  8 Cu 2.67-2.87
Cu (0.3333, 0.6667, 0.5878)  3 P 2.40, 3 Mg 2.67
Cu (0.3333, 0.6667, 0.9122)  3 P 2.40, 3 Mg 2.67
Cu (0.6667, 0.3333, 0.0878)  3 P 2.40, 3 Mg 2.67
Cu (0.6667, 0.3333, 0.4122)  3 P 2.40, 3 Mg 2.67
P (0.0000, 0.0000, 0.0000)  6 Cu 2.40
P (0.0000, 0.0000, 0.5000)  6 Cu 2.40

=====

First-principles (GGA-PBE) data for crystalline Tl3HgRh at its relaxed geometry, as listed in the Alexandria database.

## Properties
- DOS(E_F): 4.6 states/eV per cell
- Distance to the lowest polymorph of the same formula: 39 meV/atom
- ΔH_f (0 K): 17 meV per atom

abc: 5.2875 7.5101 7.5195
angles: 89.55 89.98 89.95
Closest atoms and distances in Å follow each position.
Fractional coordinates of all 10 atoms:
Tl (0.0000, 0.0000, 0.0000)  2 Rh 2.63-2.64
Tl (0.0001, 0.0174, 0.5075)  2 Rh 2.65
Tl (0.0006, 0.4927, 0.9829)  2 Rh 2.65
Tl (0.4999, 0.2531, 0.2495)  2 Rh 2.64
Tl (0.5002, 0.7503, 0.7475)  2 Rh 2.64
Tl (0.5018, 0.7305, 0.2723)  2 Hg 3.52-3.53, 9 Tl 3.58-3.93
Hg (0.0009, 0.5093, 0.4907)  2 Rh 2.70
Hg (0.5012, 0.2598, 0.7386)  10 Tl 3.65-3.84, 2 Hg 3.73
Rh (0.9999, 0.2517, 0.2421)  5 Tl 2.63-2.65, 1 Hg 2.70
Rh (0.0002, 0.7577, 0.7484)  5 Tl 2.64-2.65, 1 Hg 2.70

=====

First-principles (GGA-PBE) data for crystalline Th2CdRh at its relaxed geometry, as listed in the Alexandria database.

## Properties
- DOS(E_F): 5.6 states/eV per cell
- Distance to the lowest polymorph of the same formula: 317 meV/atom
- ΔH_f (0 K): -92 meV per atom

abc: 10.3553 10.3553 10.3553
angles: 21.94 21.94 21.94
Closest atoms and distances in Å follow each position.
Fractional coordinates of all 4 atoms:
Th (0.1118, 0.1118, 0.1118)  3 Rh 2.82
Th (0.8882, 0.8882, 0.8882)  3 Rh 2.82
Cd (0.0000, 0.0000, 0.0000)  2 Th 3.39
Rh (0.5000, 0.5000, 0.5000)  6 Th 2.82

=====

First-principles (GGA-PBE) data for crystalline HfTi2H at its relaxed geometry, as listed in the Alexandria database.

## Properties
- DOS(E_F): 5.0 states/eV per cell
- Distance to the lowest polymorph of the same formula: 1021 meV/atom

abc: 4.4718 4.4718 4.4718
angles: 60.00 60.00 60.00
Closest atoms and distances in Å follow each position.
Fractional coordinates of all 4 atoms:
Hf (0.0000, 0.0000, 0.0000)  8 Ti 2.74
Ti (0.2500, 0.2500, 0.2500)  4 H 2.74, 4 Hf 2.74
Ti (0.7500, 0.7500, 0.7500)  4 H 2.74, 4 Hf 2.74
H (0.5000, 0.5000, 0.5000)  8 Ti 2.74

=====

First-principles (GGA-PBE) data for crystalline LiHg2BiPb at its relaxed geometry, as listed in the Alexandria database.

## Properties
- DOS(E_F): 2.1 states/eV per cell
- Distance to the lowest polymorph of the same formula: 0 meV/atom
- ΔH_f (0 K): -69 meV per atom

abc: 8.1183 8.1183 8.1183
angles: 149.71 149.71 43.37
Closest atoms and distances in Å follow each position.
Fractional coordinates of all 5 atoms:
Li (0.0000, 0.0000, 0.0000)  4 Hg 2.86, 1 Pb 2.93
Hg (0.3724, 0.8724, 0.5000)  2 Li 2.86, 4 Hg 3.00
Hg (0.8724, 0.3724, 0.5000)  2 Li 2.86, 4 Hg 3.00
Bi (0.5861, 0.5861, 0.0000)  4 Li 3.27, 4 Pb 3.41
Pb (0.1941, 0.1941, 0.0000)  1 Li 2.93